Here is crystalline ReHgBr2 at its relaxed geometry from the Alexandria database. Energies are from PBEsol.

Theoretical density = 9.5 g cm⁻³
Energy above the most stable polymorph in this dataset = 0.000 eV/atom
Formation energy without anion corrections = 0.364 eV per atom
Calculated volume = 95 Å³/cell

Structure (POSCAR):
```
ReHgBr2
1.0
-1.529 2.447 6.359
1.529 -2.447 6.359
1.529 2.447 -6.359
Re Hg Br
1 1 2
direct
0.000 0.000 0.000 Re
0.500 0.500 0.000 Hg
0.161 0.661 0.500 Br
0.839 0.339 0.500 Br
```